P:
ReTc2 | PBE | relaxed

Unit cell a=2.7711 b=5.2283 c=6.5236 alpha=75.90 beta=90.00 gamma=105.37
Closest atoms and distances in Å follow each position.
Element x y z (fractional)
Tc 0.3343 0.6686 0.3311  8 Tc 2.72-2.77, 4 Re 2.75-2.77
Tc 0.3875 0.7750 0.7225  5 Re 2.72-2.76, 7 Tc 2.74-2.77
Tc 0.0548 0.1096 0.3897  9 Tc 2.73-2.77, 3 Re 2.74
Tc 0.7219 0.4438 0.0578  8 Tc 2.72-2.77, 4 Re 2.74-2.75
Re 0.0004 0.0008 0.9994  8 Tc 2.74-2.75, 4 Re 2.76-2.77
Re 0.6677 0.3355 0.6661  8 Tc 2.72-2.77, 4 Re 2.76-2.77

=====

Q:
ReTc2 | PBE | relaxed

Unit cell a=2.7463 b=2.7463 c=6.7810 alpha=90.00 beta=90.00 gamma=120.00
Closest atoms and distances in Å follow each position.
Element x y z (fractional)
Tc 0.3333 0.6667 0.3340  9 Tc 2.75, 3 Re 2.76
Tc 0.6667 0.3333 0.6660  9 Tc 2.75, 3 Re 2.76
Re 0.0000 0.0000 0.0000  6 Re 2.75, 6 Tc 2.76

=====

R:
ReTc2 | PBE | relaxed

Unit cell a=6.3764 b=6.3764 c=4.0608 alpha=90.00 beta=90.00 gamma=120.00
Closest atoms and distances in Å follow each position.
Element x y z (fractional)
Tc 0.2511 0.0000 0.0000  4 Re 2.43-2.59
Tc 0.4082 0.4082 0.5000  5 Re 2.60-2.80
Tc 0.5918 0.0000 0.5000  5 Re 2.60-2.80
Tc 0.0000 0.2511 0.0000  4 Re 2.43-2.59
Tc 0.0000 0.5918 0.5000  5 Re 2.60-2.80
Tc 0.7489 0.7489 0.0000  4 Re 2.43-2.59
Re 0.6667 0.3333 0.0000  3 Tc 2.43
Re 0.0000 0.0000 0.5000  9 Tc 2.59-2.60
Re 0.3333 0.6667 0.0000  3 Tc 2.43

=====

S:
ReTc2 | PBE | relaxed

Unit cell a=2.7294 b=4.1192 c=17.1403 alpha=90.00 beta=90.00 gamma=90.00
Closest atoms and distances in Å follow each position.
Element x y z (fractional)
Re 0.5000 0.2500 0.8842  2 Re 2.73, 10 Tc 2.74-2.95
Re 0.0000 0.2500 0.6158  2 Re 2.73, 10 Tc 2.74-2.95
Re 0.0000 0.7500 0.3842  2 Re 2.73, 10 Tc 2.74-2.95
Re 0.5000 0.7500 0.1158  2 Re 2.73, 10 Tc 2.74-2.95
Tc 0.5000 0.7500 0.5366  3 Tc 2.41-2.54
Tc 0.5000 0.2500 0.4634  3 Tc 2.41-2.54
Tc 0.0000 0.2500 0.0366  3 Tc 2.41-2.54
Tc 0.0000 0.2500 0.1848  5 Tc 2.54-2.73, 4 Re 2.74
Tc 0.5000 0.7500 0.6848  5 Tc 2.54-2.73, 4 Re 2.74
Tc 0.0000 0.7500 0.9634  3 Tc 2.41-2.54
Tc 0.0000 0.7500 0.8152  5 Tc 2.54-2.73, 4 Re 2.74
Tc 0.5000 0.2500 0.3152  5 Tc 2.54-2.73, 4 Re 2.74

=====

Most stable = P

=====

P:
ReTc2 | PBE | relaxed

Unit cell a=12.1878 b=12.1878 c=12.1878 alpha=166.98 beta=166.98 gamma=18.45
Closest atoms and distances in Å follow each position.
Element x y z (fractional)
Re 0.7500 0.2500 0.5000  8 Tc 2.71, 4 Re 2.76
Re 0.0000 0.0000 0.0000  8 Tc 2.71, 4 Re 2.76
Tc 0.5783 0.5783 0.0000  6 Tc 2.64-2.76, 4 Re 2.71
Tc 0.3283 0.8283 0.5000  6 Tc 2.64-2.76, 4 Re 2.71
Tc 0.1717 0.6717 0.5000  6 Tc 2.64-2.76, 4 Re 2.71
Tc 0.4217 0.4217 0.0000  6 Tc 2.64-2.76, 4 Re 2.71

=====

Q:
ReTc2 | PBE | relaxed

Unit cell a=4.2163 b=4.2163 c=2.9754 alpha=90.00 beta=90.00 gamma=90.00
Closest atoms and distances in Å follow each position.
Element x y z (fractional)
Tc 0.0000 0.5000 0.5000  4 Re 2.58
Tc 0.5000 0.0000 0.5000  4 Re 2.58
Re 0.0000 0.0000 0.0000  8 Tc 2.58

=====

R:
ReTc2 | PBE | relaxed

Unit cell a=2.7643 b=7.3156 c=4.4415 alpha=90.00 beta=90.00 gamma=79.11
Closest atoms and distances in Å follow each position.
Element x y z (fractional)
Tc 0.2225 0.5551 0.5000  10 Tc 2.73-2.76, 2 Re 2.76
Tc 0.8880 0.2241 0.5000  8 Tc 2.73-2.76, 4 Re 2.74-2.78
Tc 0.3331 0.3338 0.0000  10 Tc 2.73-2.76, 2 Re 2.76
Tc 0.6676 0.6648 0.0000  8 Tc 2.73-2.76, 4 Re 2.74-2.78
Re 0.9995 0.0011 0.0000  6 Tc 2.74-2.78, 6 Re 2.74-2.76
Re 0.5561 0.8878 0.5000  6 Tc 2.74-2.78, 6 Re 2.74-2.76

=====

Most stable = R

=====

P:
ReTc2 | PBE | relaxed

Unit cell a=4.1923 b=4.1923 c=4.1923 alpha=60.00 beta=60.00 gamma=60.00
Closest atoms and distances in Å follow each position.
Element x y z (fractional)
Tc 0.2500 0.2500 0.2500  4 Re 2.57
Tc 0.7500 0.7500 0.7500  4 Re 2.57
Re 0.0000 0.0000 0.0000  8 Tc 2.57

=====

Q:
ReTc2 | PBE | relaxed

Unit cell a=5.0455 b=5.0455 c=8.2070 alpha=90.00 beta=90.00 gamma=60.00
Closest atoms and distances in Å follow each position.
Element x y z (fractional)
Tc 0.8256 0.8256 0.7500  6 Tc 2.40-2.64
Tc 0.1744 0.1744 0.2500  6 Tc 2.40-2.64
Tc 0.0000 0.0000 0.5000  6 Tc 2.56
Tc 0.8256 0.3489 0.7500  6 Tc 2.40-2.64
Tc 0.6511 0.1744 0.2500  6 Tc 2.40-2.64
Tc 0.0000 0.0000 0.0000  6 Tc 2.56
Tc 0.3489 0.8256 0.7500  6 Tc 2.40-2.64
Tc 0.1744 0.6511 0.2500  6 Tc 2.40-2.64
Re 0.3333 0.3333 0.5722  12 Tc 2.91-2.99, 4 Re 2.92-3.15
Re 0.6667 0.6667 0.4278  12 Tc 2.91-2.99, 4 Re 2.92-3.15
Re 0.3333 0.3333 0.9278  12 Tc 2.91-2.99, 4 Re 2.92-3.15
Re 0.6667 0.6667 0.0722  12 Tc 2.91-2.99, 4 Re 2.92-3.15

=====

R:
ReTc2 | PBE | relaxed

Unit cell a=2.7431 b=3.9053 c=4.7708 alpha=114.16 beta=106.71 gamma=90.00
Closest atoms and distances in Å follow each position.
Element x y z (fractional)
Re 0.0000 0.0000 0.0000  2 Re 2.74, 10 Tc 2.75
Tc 0.6666 0.6666 0.3333  7 Tc 2.74-2.76, 5 Re 2.75
Tc 0.3334 0.3334 0.6667  7 Tc 2.74-2.76, 5 Re 2.75

=====

S:
ReTc2 | PBE | relaxed

Unit cell a=5.9763 b=5.9763 c=5.9763 alpha=90.00 beta=90.00 gamma=90.00
Closest atoms and distances in Å follow each position.
Element x y z (fractional)
Tc 0.8811 0.3811 0.1189  1 Tc 2.46, 3 Re 2.49
Tc 0.6189 0.6189 0.6189  1 Tc 2.46, 3 Re 2.49
Tc 0.1189 0.6189 0.8811  1 Tc 2.46, 3 Re 2.49
Tc 0.1189 0.8811 0.3811  1 Tc 2.46, 3 Re 2.49
Tc 0.6189 0.8811 0.1189  1 Tc 2.46, 3 Re 2.49
Tc 0.3811 0.3811 0.3811  1 Tc 2.46, 3 Re 2.49
Tc 0.8811 0.1189 0.6189  1 Tc 2.46, 3 Re 2.49
Tc 0.3811 0.1189 0.8811  1 Tc 2.46, 3 Re 2.49
Re 0.0000 0.0000 0.0000  6 Tc 2.49
Re 0.5000 0.0000 0.5000  6 Tc 2.49
Re 0.0000 0.5000 0.5000  6 Tc 2.49
Re 0.5000 0.5000 0.0000  6 Tc 2.49

=====

Most stable = R

=====

P:
ReTc2 | PBE | relaxed

Unit cell a=4.3443 b=4.3443 c=5.4781 alpha=90.00 beta=90.00 gamma=120.00
Closest atoms and distances in Å follow each position.
Element x y z (fractional)
Re 0.3333 0.6667 0.2500  5 Tc 2.51-2.74
Re 0.6667 0.3333 0.7500  5 Tc 2.51-2.74
Tc 0.3333 0.6667 0.7500  5 Re 2.51-2.74
Tc 0.0000 0.0000 0.5000  8 Tc 2.74-2.86, 6 Re 2.86
Tc 0.0000 0.0000 0.0000  8 Tc 2.74-2.86, 6 Re 2.86
Tc 0.6667 0.3333 0.2500  5 Re 2.51-2.74

=====

Q:
ReTc2 | PBE | relaxed

Unit cell a=3.8916 b=6.1606 c=3.8870 alpha=90.00 beta=90.00 gamma=71.59
Closest atoms and distances in Å follow each position.
Element x y z (fractional)
Re 0.0835 0.8330 0.7500  10 Tc 2.75-2.76, 2 Re 2.75
Re 0.9165 0.1670 0.2500  10 Tc 2.75-2.76, 2 Re 2.75
Tc 0.4166 0.1668 0.7500  6 Tc 2.75-2.76, 6 Re 2.75-2.76
Tc 0.2503 0.4994 0.2500  8 Tc 2.75-2.76, 4 Re 2.75
Tc 0.5834 0.8332 0.2500  6 Tc 2.75-2.76, 6 Re 2.75-2.76
Tc 0.7497 0.5006 0.7500  8 Tc 2.75-2.76, 4 Re 2.75

=====

Most stable = Q